Record 1
A plane-wave DFT calculation with GGA-PBE was carried out for crystalline RbNa2As at its relaxed geometry.

abc: 5.945 5.945 18.805
angles: 90.00 90.00 90.00
Space group I-42d (No. 122)
One atom of each set of equivalent atoms:
Rb 0.000 0.000 0.000 [4 per cell]
Na 0.053 0.250 0.625 [8 per cell]
As 0.000 0.000 0.500 [4 per cell]

- energy of formation (eV/atom) = -0.155
- size of the total moment (μB/f.u.) = 0.0
- DOS(E_F) (states/eV/f.u.) = 0.27


Record 2
A plane-wave DFT calculation with GGA-PBE was carried out for crystalline SrBe2ZnIr at its relaxed geometry.

abc: 4.413 4.413 4.848
angles: 90.00 90.00 90.00
Space group P4/mmm (No. 123)
One atom of each set of equivalent atoms:
Sr 0.000 0.000 0.000 [1 per cell]
Be 0.000 0.500 0.500 [2 per cell]
Zn 0.500 0.500 0.000 [1 per cell]
Ir 0.500 0.500 0.500 [1 per cell]

- energy of formation (eV/atom) = -0.207
- size of the total moment (μB/f.u.) = 0.0
- DOS(E_F) (states/eV/f.u.) = 1.51


Record 3
A plane-wave DFT calculation with GGA-PBE was carried out for crystalline La2CeNpP4 at its relaxed geometry.

abc: 7.166 4.135 7.215
angles: 90.00 109.36 90.00
Space group P2/m (No. 10)
One atom of each set of equivalent atoms:
La 0.000 0.000 0.000 [1 per cell]
La 0.500 0.500 0.000 [1 per cell]
Ce 0.000 0.500 0.500 [1 per cell]
Np 0.500 0.000 0.500 [1 per cell]
P 0.249 0.000 0.734 [2 per cell]
P 0.261 0.500 0.269 [2 per cell]

- energy of formation (eV/atom) = -1.356
- size of the total moment (μB/f.u.) = 4.2
- DOS(E_F) (states/eV/f.u.) = 15.92


Record 4
A plane-wave DFT calculation with GGA-PBE was carried out for crystalline NaGdErIn at its relaxed geometry.

abc: 7.628 7.628 7.628
angles: 90.00 90.00 90.00
Space group F-43m (No. 216)
One atom of each set of equivalent atoms:
Na 0.000 0.000 0.000 [4 per cell]
Gd 0.250 0.250 0.750 [4 per cell]
Er 0.250 0.250 0.250 [4 per cell]
In 0.000 0.000 0.500 [4 per cell]

- energy of formation (eV/atom) = -0.126
- size of the total moment (μB/f.u.) = 7.7
- DOS(E_F) (states/eV/f.u.) = 3.73


Record 5
A plane-wave DFT calculation with GGA-PBE was carried out for crystalline LaPr2Nd5Sc at its relaxed geometry.

abc: 8.896 8.896 15.897
angles: 90.00 90.00 90.00
Space group I4/mcm (No. 140)
One atom of each set of equivalent atoms:
La 0.000 0.000 0.250 [4 per cell]
Pr 0.120 0.380 0.000 [8 per cell]
Nd 0.000 0.000 0.000 [4 per cell]
Nd 0.206 0.294 0.359 [16 per cell]
Sc 0.000 0.500 0.250 [4 per cell]

- energy of formation (eV/atom) = 0.272
- size of the total moment (μB/f.u.) = 0.0
- DOS(E_F) (states/eV/f.u.) = 14.74


Record 6
A plane-wave DFT calculation with GGA-PBE was carried out for crystalline YCu2Te at its relaxed geometry.

abc: 4.249 4.249 4.384
angles: 90.00 90.00 90.00
Space group P4/mmm (No. 123)
One atom of each set of equivalent atoms:
Y 0.000 0.000 0.000 [1 per cell]
Cu 0.000 0.500 0.500 [2 per cell]
Te 0.500 0.500 0.000 [1 per cell]

- VASP energy (Ry per atom) = -0.348
- size of the total moment (μB/f.u.) = 0.0
- DOS(E_F) (states/eV/f.u.) = 1.81


Record 7
A plane-wave DFT calculation with GGA-PBE was carried out for crystalline Ba2HgBi2 at its relaxed geometry.

abc: 4.632 4.632 19.510
angles: 90.00 90.00 90.00
Space group I4/mmm (No. 139)
One atom of each set of equivalent atoms:
Ba 0.000 0.000 0.105 [4 per cell]
Hg 0.000 0.000 0.500 [2 per cell]
Bi 0.000 0.500 0.250 [4 per cell]

- energy of formation (eV/atom) = -0.473
- size of the total moment (μB/f.u.) = 0.0
- DOS(E_F) (states/eV/f.u.) = 3.31


Record 8
A plane-wave DFT calculation with GGA-PBE was carried out for crystalline ScSiRu2 at its relaxed geometry.

abc: 2.961 3.747 5.685
angles: 90.00 103.59 90.00
Space group P2/m (No. 10)
One atom of each set of equivalent atoms:
Sc 0.000 0.000 0.000 [1 per cell]
Si 0.000 0.000 0.500 [1 per cell]
Ru 0.367 0.500 0.718 [2 per cell]

- VASP energy (Ry per atom) = -0.592
- size of the total moment (μB/f.u.) = 0.0
- DOS(E_F) (states/eV/f.u.) = 2.32